Record 1
The following is a SCAN calculation of a PBEsol-optimized structure of LiHg4Te, from Alexandria via LeMat-Bulk.

Geometry as CIF:
```
data_LiHg4Te
_cell_length_a 8.4669
_cell_length_b 8.4669
_cell_length_c 8.4669
_cell_angle_alpha 90.00
_cell_angle_beta 90.00
_cell_angle_gamma 90.00
_symmetry_space_group_name_H-M 'F -4 3 m'
_symmetry_Int_Tables_number 216
_symmetry_space_group_name_Hall 'F -4 2 3'
loop_
_atom_site_label
_atom_site_type_symbol
_atom_site_fract_x
_atom_site_fract_y
_atom_site_fract_z
Li1 Li 0.0000 0.0000 0.0000
Hg1 Hg 0.1250 0.1250 0.3750
Te1 Te 0.2500 0.2500 0.7500
```

Results
Formation energy (no corrections) ... 0.024 eV/atom
Magnetic moment ... 0.00 μB/cell

Record 2
The following is a SCAN calculation of a PBEsol-optimized structure of Li2HgTe, from Alexandria via LeMat-Bulk.

Geometry as CIF:
```
data_Li2HgTe
_cell_length_a 4.1274
_cell_length_b 4.1274
_cell_length_c 9.8209
_cell_angle_alpha 90.00
_cell_angle_beta 90.00
_cell_angle_gamma 90.00
_symmetry_space_group_name_H-M 'I -4 m 2'
_symmetry_Int_Tables_number 119
_symmetry_space_group_name_Hall 'I -4 -2'
loop_
_atom_site_label
_atom_site_type_symbol
_atom_site_fract_x
_atom_site_fract_y
_atom_site_fract_z
Li1 Li 0.0000 0.0000 0.0000
Li2 Li 0.0000 0.5000 0.2500
Hg1 Hg 0.0000 0.5000 0.7500
Te1 Te 0.0000 0.0000 0.5000
```

Results
Formation energy (no corrections) ... -0.583 eV/atom
Energy above the most stable polymorph in this dataset ... 124 meV/atom
Magnetic moment ... 0.00 μB/cell

Record 3
The following is a SCAN calculation of a PBEsol-optimized structure of Li2HgTe, from Alexandria via LeMat-Bulk.

Geometry as CIF:
```
data_Li2HgTe
_cell_length_a 6.9645
_cell_length_b 6.9645
_cell_length_c 6.9645
_cell_angle_alpha 90.00
_cell_angle_beta 90.00
_cell_angle_gamma 90.00
_symmetry_space_group_name_H-M 'F m -3 m'
_symmetry_Int_Tables_number 225
_symmetry_space_group_name_Hall '-F 4 2 3'
loop_
_atom_site_label
_atom_site_type_symbol
_atom_site_fract_x
_atom_site_fract_y
_atom_site_fract_z
Li1 Li 0.2500 0.2500 0.2500
Hg1 Hg 0.0000 0.0000 0.0000
Te1 Te 0.0000 0.0000 0.5000
```

Results
Formation energy (no corrections) ... -0.707 eV/atom
Energy above the most stable polymorph in this dataset ... 0 meV/atom
Magnetic moment ... 0.00 μB/cell

Record 4
The following is a SCAN calculation of a PBEsol-optimized structure of LiHgTe2, from Alexandria via LeMat-Bulk.

Geometry as CIF:
```
data_LiHgTe2
_cell_length_a 3.7545
_cell_length_b 3.7410
_cell_length_c 7.3934
_cell_angle_alpha 90.00
_cell_angle_beta 90.15
_cell_angle_gamma 90.00
_symmetry_space_group_name_H-M 'P 1 2/m 1'
_symmetry_Int_Tables_number 10
loop_
_symmetry_equiv_pos_as_xyz
'x,y,z'
'-x,-y,-z'
'-x,y,-z'
'x,-y,z'
loop_
_atom_site_label
_atom_site_type_symbol
_atom_site_fract_x
_atom_site_fract_y
_atom_site_fract_z
Li1 Li 0.0000 0.0000 0.0000
Hg1 Hg 0.0000 0.0000 0.5000
Te1 Te 0.4984 0.5000 0.8138
```

Results
Formation energy (no corrections) ... -0.272 eV/atom
Magnetic moment ... 0.00 μB/cell

Record 5
The following is a SCAN calculation of a PBEsol-optimized structure of LiThHg2, from Alexandria via LeMat-Bulk.

Geometry as CIF:
```
data_LiThHg2
_cell_length_a 7.1986
_cell_length_b 7.1986
_cell_length_c 7.1986
_cell_angle_alpha 90.00
_cell_angle_beta 90.00
_cell_angle_gamma 90.00
_symmetry_space_group_name_H-M 'F m -3 m'
_symmetry_Int_Tables_number 225
_symmetry_space_group_name_Hall '-F 4 2 3'
loop_
_atom_site_label
_atom_site_type_symbol
_atom_site_fract_x
_atom_site_fract_y
_atom_site_fract_z
Li1 Li 0.0000 0.0000 0.0000
Th1 Th 0.0000 0.0000 0.5000
Hg1 Hg 0.2500 0.2500 0.2500
```

Results
DFT formation energy ... -418.8 meV/atom
Magnetic moment ... 0.00 μB/cell

Record 6
The following is a SCAN calculation of a PBEsol-optimized structure of LiTlHg2, from Alexandria via LeMat-Bulk.

Geometry as CIF:
```
data_LiTlHg2
_cell_length_a 9.6454
_cell_length_b 3.2649
_cell_length_c 5.8298
_cell_angle_alpha 90.00
_cell_angle_beta 101.14
_cell_angle_gamma 90.00
_symmetry_space_group_name_H-M 'C 1 2/m 1'
_symmetry_Int_Tables_number 12
loop_
_symmetry_equiv_pos_as_xyz
'x,y,z'
'-x,-y,-z'
'-x,y,-z'
'x,-y,z'
'x+1/2,y+1/2,z'
'-x+1/2,-y+1/2,-z'
'-x+1/2,y+1/2,-z'
'x+1/2,-y+1/2,z'
loop_
_atom_site_label
_atom_site_type_symbol
_atom_site_fract_x
_atom_site_fract_y
_atom_site_fract_z
Li1 Li 0.0000 0.0000 0.0000
Tl1 Tl 0.0000 0.5000 0.5000
Hg1 Hg 0.2348 0.5000 0.2194
```

Results
Energy above the most stable polymorph in this dataset ... 27 meV/atom
DFT formation energy ... -196.2 meV/atom
Magnetic moment ... 0.00 μB/cell

Record 7
The following is a SCAN calculation of a PBEsol-optimized structure of LiTlHg2, from Alexandria via LeMat-Bulk.

Geometry as CIF:
```
data_LiTlHg2
_cell_length_a 3.5404
_cell_length_b 3.6094
_cell_length_c 6.8961
_cell_angle_alpha 90.00
_cell_angle_beta 90.00
_cell_angle_gamma 90.00
_symmetry_space_group_name_H-M 'P m m m'
_symmetry_Int_Tables_number 47
loop_
_symmetry_equiv_pos_as_xyz
'x,y,z'
'-x,-y,-z'
'-x,-y,z'
'x,y,-z'
'x,-y,-z'
'-x,y,z'
'-x,y,-z'
'x,-y,z'
loop_
_atom_site_label
_atom_site_type_symbol
_atom_site_fract_x
_atom_site_fract_y
_atom_site_fract_z
Li1 Li 0.0000 0.0000 0.0000
Tl1 Tl 0.0000 0.0000 0.5000
Hg1 Hg 0.5000 0.5000 0.2152
```

Results
Energy above the most stable polymorph in this dataset ... 0 meV/atom
DFT formation energy ... -223.2 meV/atom
Magnetic moment ... 0.00 μB/cell

Record 8
The following is a SCAN calculation of a PBEsol-optimized structure of LiTlHg2, from Alexandria via LeMat-Bulk.

Geometry as CIF:
```
data_LiTlHg2
_cell_length_a 3.3255
_cell_length_b 3.3255
_cell_length_c 28.1743
_cell_angle_alpha 90.00
_cell_angle_beta 90.00
_cell_angle_gamma 120.00
_symmetry_space_group_name_H-M 'R 3 m'
_symmetry_Int_Tables_number 160
_symmetry_space_group_name_Hall 'R 3 -2"'
loop_
_atom_site_label
_atom_site_type_symbol
_atom_site_fract_x
_atom_site_fract_y
_atom_site_fract_z
Li1 Li 0.0000 0.0000 0.0000
Tl1 Tl 0.0000 0.0000 0.2497
Hg1 Hg 0.0000 0.0000 0.4913
Hg2 Hg 0.0000 0.0000 0.7378
```

Results
Energy above the most stable polymorph in this dataset ... 75 meV/atom
DFT formation energy ... -148.6 meV/atom
Magnetic moment ... 0.00 μB/cell

Record 9
The following is a SCAN calculation of a PBEsol-optimized structure of LiTl2Hg2, from Alexandria via LeMat-Bulk.

Geometry as CIF:
```
data_LiTl2Hg2
_cell_length_a 7.4063
_cell_length_b 7.4063
_cell_length_c 4.5854
_cell_angle_alpha 90.00
_cell_angle_beta 90.00
_cell_angle_gamma 90.00
_symmetry_space_group_name_H-M 'P 4/m b m'
_symmetry_Int_Tables_number 127
_symmetry_space_group_name_Hall '-P 4 2ab'
loop_
_atom_site_label
_atom_site_type_symbol
_atom_site_fract_x
_atom_site_fract_y
_atom_site_fract_z
Li1 Li 0.0000 0.0000 0.0000
Tl1 Tl 0.1702 0.3298 0.5000
Hg1 Hg 0.1426 0.6426 0.0000
```

Results
DFT formation energy ... -103.5 meV/atom
Magnetic moment ... 0.00 μB/cell

Record 10
The following is a SCAN calculation of a PBEsol-optimized structure of LiTlHg2, from Alexandria via LeMat-Bulk.

Geometry as CIF:
```
data_LiTlHg2
_cell_length_a 7.1346
_cell_length_b 7.1346
_cell_length_c 7.1346
_cell_angle_alpha 90.00
_cell_angle_beta 90.00
_cell_angle_gamma 90.00
_symmetry_space_group_name_H-M 'F m -3 m'
_symmetry_Int_Tables_number 225
_symmetry_space_group_name_Hall '-F 4 2 3'
loop_
_atom_site_label
_atom_site_type_symbol
_atom_site_fract_x
_atom_site_fract_y
_atom_site_fract_z
Li1 Li 0.0000 0.0000 0.0000
Tl1 Tl 0.0000 0.0000 0.5000
Hg1 Hg 0.2500 0.2500 0.2500
```

Results
Energy above the most stable polymorph in this dataset ... 29 meV/atom
DFT formation energy ... -194.3 meV/atom
Magnetic moment ... 0.00 μB/cell

Record 11
The following is a SCAN calculation of a PBEsol-optimized structure of LiTlHg2, from Alexandria via LeMat-Bulk.

Geometry as CIF:
```
data_LiTlHg2
_cell_length_a 4.4515
_cell_length_b 4.5216
_cell_length_c 8.7702
_cell_angle_alpha 90.00
_cell_angle_beta 90.00
_cell_angle_gamma 90.00
_symmetry_space_group_name_H-M 'I m m 2'
_symmetry_Int_Tables_number 44
loop_
_symmetry_equiv_pos_as_xyz
'x,y,z'
'-x,-y,z'
'-x,y,z'
'x,-y,z'
'x+1/2,y+1/2,z+1/2'
'-x+1/2,-y+1/2,z+1/2'
'-x+1/2,y+1/2,z+1/2'
'x+1/2,-y+1/2,z+1/2'
loop_
_atom_site_label
_atom_site_type_symbol
_atom_site_fract_x
_atom_site_fract_y
_atom_site_fract_z
Li1 Li 0.0000 0.0000 0.0000
Tl1 Tl 0.0000 0.5000 0.7507
Hg1 Hg 0.0000 0.0000 0.5018
Hg2 Hg 0.0000 0.5000 0.2522
```

Results
Energy above the most stable polymorph in this dataset ... 56 meV/atom
DFT formation energy ... -167.1 meV/atom
Magnetic moment ... 0.00 μB/cell

Record 12
The following is a SCAN calculation of a PBEsol-optimized structure of LiTlHg2, from Alexandria via LeMat-Bulk.

Geometry as CIF:
```
data_LiTlHg2
_cell_length_a 3.3036
_cell_length_b 3.3036
_cell_length_c 28.5878
_cell_angle_alpha 90.00
_cell_angle_beta 90.00
_cell_angle_gamma 120.00
_symmetry_space_group_name_H-M 'R -3 m'
_symmetry_Int_Tables_number 166
_symmetry_space_group_name_Hall '-R 3 2"'
loop_
_atom_site_label
_atom_site_type_symbol
_atom_site_fract_x
_atom_site_fract_y
_atom_site_fract_z
Li1 Li 0.0000 0.0000 0.0000
Tl1 Tl 0.0000 0.0000 0.5000
Hg1 Hg 0.0000 0.0000 0.2607
```

Results
Energy above the most stable polymorph in this dataset ... 31 meV/atom
DFT formation energy ... -192.5 meV/atom
Magnetic moment ... 0.00 μB/cell

Record 13
The following is a SCAN calculation of a PBEsol-optimized structure of LiTlHg2, from Alexandria via LeMat-Bulk.

Geometry as CIF:
```
data_LiTlHg2
_cell_length_a 7.0787
_cell_length_b 7.0787
_cell_length_c 7.0787
_cell_angle_alpha 90.00
_cell_angle_beta 90.00
_cell_angle_gamma 90.00
_symmetry_space_group_name_H-M 'F -4 3 m'
_symmetry_Int_Tables_number 216
_symmetry_space_group_name_Hall 'F -4 2 3'
loop_
_atom_site_label
_atom_site_type_symbol
_atom_site_fract_x
_atom_site_fract_y
_atom_site_fract_z
Li1 Li 0.0000 0.0000 0.0000
Tl1 Tl 0.2500 0.2500 0.7500
Hg1 Hg 0.0000 0.0000 0.5000
Hg2 Hg 0.2500 0.2500 0.2500
```

Results
Energy above the most stable polymorph in this dataset ... 59 meV/atom
DFT formation energy ... -164.2 meV/atom
Magnetic moment ... 0.00 μB/cell

Record 14
The following is a SCAN calculation of a PBEsol-optimized structure of LiTlHg2, from Alexandria via LeMat-Bulk.

Geometry as CIF:
```
data_LiTlHg2
_cell_length_a 4.4485
_cell_length_b 4.4485
_cell_length_c 4.4868
_cell_angle_alpha 90.00
_cell_angle_beta 90.00
_cell_angle_gamma 90.00
_symmetry_space_group_name_H-M 'P 4/m m m'
_symmetry_Int_Tables_number 123
_symmetry_space_group_name_Hall '-P 4 2'
loop_
_atom_site_label
_atom_site_type_symbol
_atom_site_fract_x
_atom_site_fract_y
_atom_site_fract_z
Li1 Li 0.0000 0.0000 0.0000
Tl1 Tl 0.5000 0.5000 0.0000
Hg1 Hg 0.0000 0.5000 0.5000
```

Results
Energy above the most stable polymorph in this dataset ... 48 meV/atom
DFT formation energy ... -175.5 meV/atom
Magnetic moment ... 0.00 μB/cell

Record 15
The following is a SCAN calculation of a PBEsol-optimized structure of LiTlHg2, from Alexandria via LeMat-Bulk.

Geometry as CIF:
```
data_LiTlHg2
_cell_length_a 3.6638
_cell_length_b 3.6638
_cell_length_c 6.5943
_cell_angle_alpha 90.00
_cell_angle_beta 90.00
_cell_angle_gamma 90.00
_symmetry_space_group_name_H-M 'P 4 m m'
_symmetry_Int_Tables_number 99
loop_
_symmetry_equiv_pos_as_xyz
'x,y,z'
'-y,x,z'
'-x,-y,z'
'y,-x,z'
'-x,y,z'
'y,x,z'
'x,-y,z'
'-y,-x,z'
loop_
_atom_site_label
_atom_site_type_symbol
_atom_site_fract_x
_atom_site_fract_y
_atom_site_fract_z
Li1 Li 0.0000 0.0000 0.0000
Tl1 Tl 0.5000 0.5000 0.2722
Hg1 Hg 0.0000 0.0000 0.5472
Hg2 Hg 0.5000 0.5000 0.8046
```

Results
Energy above the most stable polymorph in this dataset ... 36 meV/atom
DFT formation energy ... -187.5 meV/atom
Magnetic moment ... 0.00 μB/cell

Record 16
The following is a SCAN calculation of a PBEsol-optimized structure of LiTlHg2, from Alexandria via LeMat-Bulk.

Geometry as CIF:
```
data_LiTlHg2
_cell_length_a 4.6610
_cell_length_b 4.6610
_cell_length_c 8.2231
_cell_angle_alpha 90.00
_cell_angle_beta 90.00
_cell_angle_gamma 90.00
_symmetry_space_group_name_H-M 'I 4/m m m'
_symmetry_Int_Tables_number 139
_symmetry_space_group_name_Hall '-I 4 2'
loop_
_atom_site_label
_atom_site_type_symbol
_atom_site_fract_x
_atom_site_fract_y
_atom_site_fract_z
Li1 Li 0.0000 0.0000 0.0000
Tl1 Tl 0.0000 0.0000 0.5000
Hg1 Hg 0.0000 0.5000 0.2500
```

Results
Energy above the most stable polymorph in this dataset ... 38 meV/atom
DFT formation energy ... -185.5 meV/atom
Magnetic moment ... 0.00 μB/cell

Record 17
The following is a SCAN calculation of a PBEsol-optimized structure of LiTmHg2, from Alexandria via LeMat-Bulk.

Geometry as CIF:
```
data_LiTmHg2
_cell_length_a 6.9118
_cell_length_b 6.9118
_cell_length_c 6.9118
_cell_angle_alpha 90.00
_cell_angle_beta 90.00
_cell_angle_gamma 90.00
_symmetry_space_group_name_H-M 'F m -3 m'
_symmetry_Int_Tables_number 225
_symmetry_space_group_name_Hall '-F 4 2 3'
loop_
_atom_site_label
_atom_site_type_symbol
_atom_site_fract_x
_atom_site_fract_y
_atom_site_fract_z
Li1 Li 0.0000 0.0000 0.0000
Tm1 Tm 0.0000 0.0000 0.5000
Hg1 Hg 0.2500 0.2500 0.2500
```

Results
DFT formation energy ... -598.8 meV/atom
Magnetic moment ... 0.00 μB/cell

Record 18
The following is a SCAN calculation of a PBEsol-optimized structure of LiHgW2, from Alexandria via LeMat-Bulk.

Geometry as CIF:
```
data_LiHgW2
_cell_length_a 5.2176
_cell_length_b 9.9209
_cell_length_c 2.7763
_cell_angle_alpha 90.00
_cell_angle_beta 115.00
_cell_angle_gamma 90.00
_symmetry_space_group_name_H-M 'C 1 2/m 1'
_symmetry_Int_Tables_number 12
loop_
_symmetry_equiv_pos_as_xyz
'x,y,z'
'-x,-y,-z'
'-x,y,-z'
'x,-y,z'
'x+1/2,y+1/2,z'
'-x+1/2,-y+1/2,-z'
'-x+1/2,y+1/2,-z'
'x+1/2,-y+1/2,z'
loop_
_atom_site_label
_atom_site_type_symbol
_atom_site_fract_x
_atom_site_fract_y
_atom_site_fract_z
Li1 Li 0.0000 0.0000 0.0000
Hg1 Hg 0.0000 0.5000 0.0000
W1 W 0.2500 0.2500 0.5000
```

Results
DFT formation energy ... 563.0 meV/atom
Magnetic moment ... 0.00 μB/cell

Record 19
The following is a SCAN calculation of a PBEsol-optimized structure of LiHg2W, from Alexandria via LeMat-Bulk.

Geometry as CIF:
```
data_LiHg2W
_cell_length_a 4.9083
_cell_length_b 4.9083
_cell_length_c 2.8999
_cell_angle_alpha 90.00
_cell_angle_beta 90.00
_cell_angle_gamma 90.00
_symmetry_space_group_name_H-M 'P 4/m m m'
_symmetry_Int_Tables_number 123
_symmetry_space_group_name_Hall '-P 4 2'
loop_
_atom_site_label
_atom_site_type_symbol
_atom_site_fract_x
_atom_site_fract_y
_atom_site_fract_z
Li1 Li 0.0000 0.0000 0.0000
Hg1 Hg 0.0000 0.5000 0.5000
W1 W 0.5000 0.5000 0.0000
```

Results
DFT formation energy ... 280.7 meV/atom
Magnetic moment ... 0.75 μB/cell

Record 20
The following is a SCAN calculation of a PBEsol-optimized structure of LiHgW2, from Alexandria via LeMat-Bulk.

Geometry as CIF:
```
data_LiHgW2
_cell_length_a 3.2421
_cell_length_b 4.1231
_cell_length_c 4.7024
_cell_angle_alpha 90.00
_cell_angle_beta 90.00
_cell_angle_gamma 90.00
_symmetry_space_group_name_H-M 'P m m m'
_symmetry_Int_Tables_number 47
loop_
_symmetry_equiv_pos_as_xyz
'x,y,z'
'-x,-y,-z'
'-x,-y,z'
'x,y,-z'
'x,-y,-z'
'-x,y,z'
'-x,y,-z'
'x,-y,z'
loop_
_atom_site_label
_atom_site_type_symbol
_atom_site_fract_x
_atom_site_fract_y
_atom_site_fract_z
Li1 Li 0.0000 0.0000 0.0000
Hg1 Hg 0.5000 0.5000 0.0000
W1 W 0.0000 0.5000 0.5000
W2 W 0.5000 0.0000 0.5000
```

Results
DFT formation energy ... 443.6 meV/atom
Magnetic moment ... 0.00 μB/cell